The following is a PBE calculation of crystalline YTeNO2 at its relaxed geometry, from Alexandria via LeMat-Bulk.

a = 4.2812 Å, b = 4.2812 Å, c = 4.5878 Å
α = 90.00°, β = 90.00°, γ = 90.00°
Space group P4/mmm (No. 123)
Inequivalent atoms, fractional coordinates:
Y (0.0000, 0.0000, 0.0000) (multiplicity 1)
Te (0.5000, 0.5000, 0.5000) (multiplicity 1)
N (0.0000, 0.0000, 0.5000) (multiplicity 1)
O (0.0000, 0.5000, 0.0000) (multiplicity 2)

**Formation energy (no corrections)**: -1.742 eV per formula unit
**Density**: 5.18 g/cm3
**Spin magnetization**: 0.26 μB/f.u.